Here is a relaxed structure of CrPSe2N from Alexandria via LeMat-Bulk. Energies are from PBE-GGA.

Calculated values
- D(E_F) (states/eV/f.u.) = 5.68
- total energy (eV/atom) = -5.21

Cell: 4.9350 4.9350 3.2231 Å, 90.00 90.00 90.00°
Sites, in units of the cell vectors:
N  0.0000  0.0000  0.5000
Se  0.0000  0.5000  0.0000
Se  0.5000  0.0000  0.0000
P  0.0000  0.0000  0.0000
Cr  0.5000  0.5000  0.5000



Here is a relaxed structure of Zr3As from Alexandria via LeMat-Bulk. Energies are from PBE-GGA.

Calculated values
- D(E_F) (states/eV/f.u.) = 3.55
- formation enthalpy at 0 K (eV/atom) = -0.38

Cell: 4.8825 5.7634 5.8031 Å, 90.00 90.00 90.00°
Sites, in units of the cell vectors:
Zr  0.0000  0.1440  0.7523
Zr  0.5000  0.8560  0.7477
Zr  0.0000  0.6132  0.5000
Zr  0.5000  0.8560  0.2523
Zr  0.0000  0.1440  0.2477
Zr  0.5000  0.3868  0.0000
As  0.5000  0.3259  0.5000
As  0.0000  0.6741  0.0000



Here is a relaxed structure of CaCdIn2 from Alexandria via LeMat-Bulk. Energies are from PBE-GGA.

Calculated values
- D(E_F) (states/eV/f.u.) = 1.07
- formation enthalpy at 0 K (eV/atom) = -0.31

Cell: 4.8847 7.5867 11.3299 Å, 90.00 90.00 90.00°
Sites, in units of the cell vectors:
Ca  0.7500  0.7278  0.3279
In  0.2500  0.1955  0.9641
Ca  0.2500  0.2722  0.6721
In  0.2500  0.6955  0.5359
In  0.7500  0.0672  0.8349
In  0.2500  0.9328  0.1651
In  0.2500  0.4328  0.3349
Cd  0.7500  0.9567  0.5881
Ca  0.2500  0.7722  0.8279
Cd  0.7500  0.4567  0.9119
Cd  0.2500  0.0433  0.4119
Cd  0.2500  0.5433  0.0881
Ca  0.7500  0.2278  0.1721
In  0.7500  0.3045  0.4641
In  0.7500  0.8045  0.0359
In  0.7500  0.5672  0.6651



Here is a relaxed structure of La4NiCl3 from Alexandria via LeMat-Bulk. Energies are from PBE-GGA.

Calculated values
- D(E_F) (states/eV/f.u.) = 6.26
- total energy (eV/atom) = -5.15

Cell: 4.0635 7.3821 7.3821 Å, 109.29 90.00 90.00°
Sites, in units of the cell vectors:
La  0.0000  0.2253  0.2253
Cl  0.0000  0.0000  0.5000
Cl  0.5000  0.5000  0.5000
La  0.5000  0.2451  0.7549
La  0.0000  0.7747  0.7747
Cl  0.0000  0.5000  0.0000
Ni  0.5000  0.0000  0.0000
La  0.5000  0.7549  0.2451



Here is a relaxed structure of LiCdGa from Alexandria via LeMat-Bulk. Energies are from PBE-GGA.

Calculated values
- D(E_F) (states/eV/f.u.) = 2.46
- formation enthalpy at 0 K (eV/atom) = -0.06

Cell: 4.4973 4.4973 4.4973 Å, 60.00 60.00 60.00°
Sites, in units of the cell vectors:
Li  0.0000  0.0000  0.0000
Cd  0.5000  0.5000  0.5000
Ga  0.2500  0.2500  0.2500



Here is a relaxed structure of TaSn2BiRh from Alexandria via LeMat-Bulk. Energies are from PBE-GGA.

Calculated values
- D(E_F) (states/eV/f.u.) = 3.78
- formation enthalpy at 0 K (eV/atom) = 0.45

Cell: 5.0677 5.0663 5.0677 Å, 90.00 90.00 90.00°
Sites, in units of the cell vectors:
Rh  0.0000  0.0000  0.0000
Ta  0.0000  0.5000  0.0000
Bi  0.5000  0.5000  0.5000
Sn  0.0000  0.0000  0.5000
Sn  0.5000  0.0000  0.0000



Here is a relaxed structure of ThTlSnHg from Alexandria via LeMat-Bulk. Energies are from PBE-GGA.

Calculated values
- D(E_F) (states/eV/f.u.) = 2.14
- formation enthalpy at 0 K (eV/atom) = -0.31

Cell: 4.6846 4.6546 4.9400 Å, 90.00 90.00 90.00°
Sites, in units of the cell vectors:
Th  0.5000  0.5000  0.0000
Tl  0.5000  0.0000  0.5000
Hg  0.0000  0.5000  0.5000
Sn  0.0000  0.0000  0.0000



Here is a relaxed structure of CrCuTe2I from Alexandria via LeMat-Bulk. Energies are from PBE-GGA.

Calculated values
- D(E_F) (states/eV/f.u.) = 3.99
- total energy (eV/atom) = -3.72

Cell: 5.1551 5.1551 5.7144 Å, 90.00 90.00 90.00°
Sites, in units of the cell vectors:
Cr  0.0000  0.0000  0.0000
I  0.0000  0.0000  0.5000
Te  0.5000  0.0000  0.0000
Cu  0.5000  0.5000  0.5000
Te  0.0000  0.5000  0.0000



Here is a relaxed structure of SrCaSn3 from Alexandria via LeMat-Bulk. Energies are from PBE-GGA.

Calculated values
- D(E_F) (states/eV/f.u.) = 1.56
- formation enthalpy at 0 K (eV/atom) = -0.51

Cell: 6.7667 6.7678 13.9528 Å, 90.00 90.00 90.00°
Sites, in units of the cell vectors:
Sn  0.5003  0.0002  0.1487
Sr  0.5003  0.5000  0.7500
Sn  0.5003  0.9998  0.3513
Sn  0.4997  0.0002  0.6487
Ca  0.7500  0.2500  0.5000
Sn  0.0003  0.5002  0.8513
Ca  0.2500  0.2500  0.0000
Sn  0.0003  0.4998  0.6487
Sn  0.2500  0.7500  0.0005
Ca  0.2500  0.7500  0.5000
Ca  0.7500  0.7500  0.0000
Sr  0.9997  0.0000  0.7500
Sr  0.4997  0.5000  0.2500
Sn  0.7500  0.2500  0.9995
Sn  0.9997  0.4998  0.1487
Sr  0.0003  0.0000  0.2500
Sn  0.4997  0.9998  0.8513
Sn  0.7500  0.7500  0.5005
Sn  0.9997  0.5002  0.3513
Sn  0.2500  0.2500  0.4995



Here is a relaxed structure of Ga2MoBr8 from Alexandria via LeMat-Bulk. Energies are from PBE-GGA.

Calculated values
- total energy (eV/atom) = -3.34

Cell: 7.4335 9.0576 7.4335 Å, 102.16 84.00 77.84°
Sites, in units of the cell vectors:
Br  0.8317  0.2077  0.8232
Br  0.2847  0.8944  0.7153
Br  0.1683  0.7923  0.1768
Mo  0.0000  0.0000  0.0000
Br  0.2896  0.4469  0.7104
Br  0.7153  0.1056  0.2847
Br  0.1768  0.2077  0.1683
Br  0.8232  0.7923  0.8317
Ga  0.8440  0.2981  0.1560
Br  0.7104  0.5531  0.2896
Ga  0.1560  0.7019  0.8440



Here is a relaxed structure of Ba5ReBr2N4 from Alexandria via LeMat-Bulk. Energies are from PBE-GGA.

Calculated values
- D(E_F) (states/eV/f.u.) = 5.79
- total energy (eV/atom) = -5.75

Cell: 8.1691 6.4717 8.8181 Å, 90.00 90.00 129.13°
Sites, in units of the cell vectors:
Ba  0.1811  0.4513  0.7999
Ba  0.7298  0.5487  0.7999
N  0.4494  0.0000  0.8264
N  0.4494  0.0000  0.1736
Ba  0.5303  0.0000  0.5000
N  0.3742  0.3273  0.0000
Br  0.4076  0.4039  0.5000
Br  0.0037  0.5961  0.5000
Re  0.3224  0.0000  0.0000
N  0.0470  0.6727  0.0000
Ba  0.1811  0.4513  0.2001
Ba  0.7298  0.5487  0.2001



Here is a relaxed structure of CsNdTc2O8 from Alexandria via LeMat-Bulk. Energies are from PBE-GGA.

Calculated values
- D(E_F) (states/eV/f.u.) = 7.29
- total energy (eV/atom) = -7.41

Cell: 6.1406 6.1406 8.5308 Å, 90.00 90.00 120.00°
Sites, in units of the cell vectors:
O  0.1734  0.3488  0.6696
O  0.6667  0.3333  0.0536
O  0.3333  0.6667  0.9464
Tc  0.3333  0.6667  0.7414
Tc  0.6667  0.3333  0.2586
O  0.6512  0.8246  0.6696
O  0.1754  0.8266  0.6696
O  0.8246  0.1734  0.3304
O  0.3488  0.1754  0.3304
O  0.8266  0.6512  0.3304
Nd  0.0000  0.0000  0.5000
Cs  0.0000  0.0000  0.0000



Here is a relaxed structure of Sm4TlPt2 from Alexandria via LeMat-Bulk. Energies are from PBE-GGA.

Calculated values
- D(E_F) (states/eV/f.u.) = 6.42
- formation enthalpy at 0 K (eV/atom) = -0.69

Cell: 4.8468 4.8468 10.2641 Å, 76.34 76.34 60.00°
Sites, in units of the cell vectors:
Sm  0.3861  0.3861  0.8418
Sm  0.7975  0.7975  0.6075
Pt  0.1015  0.1015  0.6956
Sm  0.2025  0.2025  0.3925
Tl  0.0000  0.0000  0.0000
Pt  0.8985  0.8985  0.3044
Sm  0.6139  0.6139  0.1582



Here is a relaxed structure of LiMnPt2 from Alexandria via LeMat-Bulk. Energies are from PBE-GGA.

Calculated values
- D(E_F) (states/eV/f.u.) = 1.41
- formation enthalpy at 0 K (eV/atom) = -0.49

Cell: 4.3031 4.3031 4.3031 Å, 60.00 60.00 60.00°
Sites, in units of the cell vectors:
Mn  0.5000  0.5000  0.5000
Pt  0.2500  0.2500  0.2500
Pt  0.7500  0.7500  0.7500
Li  0.0000  0.0000  0.0000



Here is a relaxed structure of SrLi2ErHg4 from Alexandria via LeMat-Bulk. Energies are from PBE-GGA.

Calculated values
- D(E_F) (states/eV/f.u.) = 3.96
- formation enthalpy at 0 K (eV/atom) = -0.41

Cell: 5.0515 5.0515 9.3182 Å, 74.27 74.27 60.00°
Sites, in units of the cell vectors:
Li  0.2413  0.2413  0.2760
Hg  0.6121  0.6121  0.1636
Li  0.7587  0.7587  0.7240
Hg  0.1279  0.1279  0.6164
Hg  0.8721  0.8721  0.3836
Er  0.5000  0.5000  0.5000
Hg  0.3879  0.3879  0.8364
Sr  0.0000  0.0000  0.0000



Here is a relaxed structure of AlSe2I from Alexandria via LeMat-Bulk. Energies are from PBE-GGA.

Calculated values
- D(E_F) (states/eV/f.u.) = 3.18
- total energy (eV/atom) = -2.62

Cell: 5.0625 5.0625 5.0625 Å, 60.00 60.00 60.00°
Sites, in units of the cell vectors:
I  0.5000  0.5000  0.5000
Se  0.2500  0.2500  0.2500
Se  0.7500  0.7500  0.7500
Al  0.0000  0.0000  0.0000



Here is a relaxed structure of Cs2AlPdF6 from Alexandria via LeMat-Bulk. Energies are from PBE-GGA.

Calculated values
- D(E_F) (states/eV/f.u.) = 6.58
- total energy (eV/atom) = -4.82

Cell: 6.3175 6.3175 11.0733 Å, 73.43 73.43 60.00°
Sites, in units of the cell vectors:
F  0.8090  0.3970  0.3970
F  0.6030  0.1910  0.6030
Pd  0.5969  0.5969  0.2093
F  0.3970  0.3970  0.3970
Cs  0.2831  0.2831  0.1506
F  0.1719  0.7578  0.8984
Cs  0.8735  0.8735  0.3794
Cs  0.1265  0.1265  0.6206
F  0.1719  0.1719  0.8984
F  0.8281  0.2422  0.1016
F  0.8281  0.8281  0.1016
Al  0.0000  0.0000  0.0000
F  0.3970  0.8090  0.3970
F  0.2422  0.8281  0.1016
F  0.1910  0.6030  0.6030
F  0.6030  0.6030  0.6030
Cs  0.7169  0.7169  0.8494
Al  0.5000  0.5000  0.5000
Pd  0.4031  0.4031  0.7907
F  0.7578  0.1719  0.8984



Here is a relaxed structure of TiTlPdAu from Alexandria via LeMat-Bulk. Energies are from PBE-GGA.

Calculated values
- D(E_F) (states/eV/f.u.) = 1.97
- formation enthalpy at 0 K (eV/atom) = -0.19

Cell: 4.6629 4.6629 4.6629 Å, 60.00 60.00 60.00°
Sites, in units of the cell vectors:
Au  0.7500  0.7500  0.7500
Tl  0.2500  0.2500  0.2500
Pd  0.5000  0.5000  0.5000
Ti  0.0000  0.0000  0.0000



Here is a relaxed structure of Ho8Er6Pu from Alexandria via LeMat-Bulk. Energies are from PBE-GGA.

Calculated values
- D(E_F) (states/eV/f.u.) = 20.16
- formation enthalpy at 0 K (eV/atom) = 0.12

Cell: 8.4728 8.4728 8.4728 Å, 63.59 63.59 63.59°
Sites, in units of the cell vectors:
Er  0.1142  0.5457  0.2211
Er  0.8858  0.4543  0.7789
Ho  0.4236  0.4236  0.4236
Er  0.2211  0.1142  0.5457
Ho  0.7185  0.7503  0.1106
Ho  0.5764  0.5764  0.5764
Ho  0.1106  0.7185  0.7503
Er  0.7789  0.8858  0.4543
Ho  0.7503  0.1106  0.7185
Er  0.4543  0.7789  0.8858
Ho  0.2815  0.2497  0.8894
Ho  0.8894  0.2815  0.2497
Pu  0.0000  0.0000  0.0000
Er  0.5457  0.2211  0.1142
Ho  0.2497  0.8894  0.2815



Here is a relaxed structure of NaCeSn2Br8 from Alexandria via LeMat-Bulk. Energies are from PBE-GGA.

Calculated values
- D(E_F) (states/eV/f.u.) = 8.42
- total energy (eV/atom) = -3.62

Cell: 7.2067 6.8376 8.8752 Å, 90.00 90.01 88.90°
Sites, in units of the cell vectors:
Ce  0.0000  0.0000  0.0000
Br  0.6705  0.7537  0.9998
Br  0.3295  0.2463  0.0002
Br  0.8425  0.2368  0.7541
Sn  0.5001  0.5000  0.7408
Br  0.1575  0.7632  0.2459
Br  0.8422  0.2366  0.2459
Sn  0.4999  0.5000  0.2592
Br  0.6540  0.7313  0.5002
Br  0.1578  0.7634  0.7541
Na  0.0000  0.0000  0.5000
Br  0.3460  0.2687  0.4998



What total moment values result from the calculations? In sequence: 0.19; 0.00; 0.00; 0.00; 0.00; 0.99; 0.00; 2.33; 0.00; 2.00; 0.95; 2.03; 0.00; 4.16; 0.00; 0.00; 2.00; 0.00; 6.67; 1.00 μB per cell.